Entry 1:
! Tm4NiTe2P (GGA-PBE, optimized geometry); values from VASP
! Formation energy from raw total energies = -1108 meV/atom
&SYSTEM
  ibrav = 0, nat = 8, ntyp = 4
/
ATOMIC_SPECIES
Tm 168.93 Tm.upf
Ni 58.69 Ni.upf
Te 127.60 Te.upf
P 30.97 P.upf
CELL_PARAMETERS angstrom
7.1669 0.0000 0.0000
0.0000 4.0248 0.0000
-2.3281 0.0000 6.9282
ATOMIC_POSITIONS crystal
Tm 0.2274 0.0000 0.2021
Tm 0.2620 0.5000 0.7895
Tm 0.7380 0.5000 0.2105
Tm 0.7726 0.0000 0.7979
Ni 0.0000 0.5000 0.0000
Te 0.0000 0.0000 0.5000
Te 0.5000 0.5000 0.5000
P 0.5000 0.0000 0.0000

Entry 2:
! MoP2S2 (GGA-PBE, optimized geometry); values from VASP
! E above lowest polymorph = 0.475 eV/atom
! Formation energy from raw total energies = 1067 meV/atom
&SYSTEM
  ibrav = 0, nat = 5, ntyp = 3
/
ATOMIC_SPECIES
Mo 95.94 Mo.upf
P 30.97 P.upf
S 32.06 S.upf
CELL_PARAMETERS angstrom
4.4266 0.0000 0.0000
0.0000 4.4266 0.0000
0.0000 0.0000 4.3610
ATOMIC_POSITIONS crystal
Mo 0.0000 0.0000 0.0000
P 0.0000 0.5000 0.5000
P 0.5000 0.0000 0.5000
S 0.5000 0.5000 0.0000
S 0.5000 0.5000 0.5000

Entry 3:
! RbSrGa3 (GGA-PBE, optimized geometry); values from VASP
! E above lowest polymorph = 0.228 eV/atom
! Energy of formation from the pure elements = 0.73 eV per atom
&SYSTEM
  ibrav = 0, nat = 5, ntyp = 3
/
ATOMIC_SPECIES
Rb 85.47 Rb.upf
Sr 87.62 Sr.upf
Ga 69.72 Ga.upf
CELL_PARAMETERS angstrom
5.8414 0.0000 0.0000
0.0000 5.8414 0.0000
0.0000 0.0000 5.8414
ATOMIC_POSITIONS crystal
Rb 0.0000 0.0000 0.0000
Sr 0.5000 0.5000 0.5000
Ga 0.0000 0.0000 0.5000
Ga 0.0000 0.5000 0.0000
Ga 0.5000 0.0000 0.0000

Entry 4:
! CaCd4 (GGA-PBE, optimized geometry); values from VASP
! E above lowest polymorph = 0.000 eV/atom
! Energy of formation from the pure elements = -0.22 eV per atom
&SYSTEM
  ibrav = 0, nat = 5, ntyp = 2
/
ATOMIC_SPECIES
Ca 40.08 Ca.upf
Cd 112.41 Cd.upf
CELL_PARAMETERS angstrom
3.6558 0.0000 0.0000
-0.0043 4.9036 0.0000
-1.8160 -2.4242 6.9073
ATOMIC_POSITIONS crystal
Ca 0.0000 0.0000 0.0000
Cd 0.2821 0.7847 0.5664
Cd 0.3959 0.3978 0.7940
Cd 0.6041 0.6022 0.2060
Cd 0.7179 0.2153 0.4336

Number 1: theoretical density 8.5 g/cm3. Number 2: theoretical density 4.3 g/cm3. Number 3: theoretical density 3.2 g/cm3. Number 4: theoretical density 6.6 g/cm3.